Here is a geometry-optimized AsP2Br structure from the Alexandria database. Energies are from PBE-GGA.

relative energy among the computed polymorphs	0.448	eV per atom
E_form (uncorrected)	0.544	eV/atom
Fermi-level density of states	9.16	states/eV per cell

Unit cell a=6.8095 b=6.8095 c=8.3509 alpha=90.00 beta=90.00 gamma=90.00
Space group I-42d (No. 122)
Symmetry-distinct sites (fractional):
1 As 0.0000 0.0000 0.0000
2 P 0.1984 0.7500 0.1250
3 Br 0.0000 0.0000 0.5000